1.
# CrTeH3, PBEsol geometry, DFT meta-GGA SCAN
# DFT total energy (eV/atom): -12.7242
# Magnetic moment (μB per formula unit): 2.5
# Fermi-level density of states (states/eV per atom): 0.277
# Symmetry: Pm-3m, No. 221
data_CrTeH3
_chemical_formula_sum 'Cr1 Te1 H3'
_symmetry_space_group_name_H-M 'P 1'
_symmetry_Int_Tables_number 1
_cell_length_a 3.589
_cell_length_b 3.589
_cell_length_c 3.589
_cell_angle_alpha 90.00
_cell_angle_beta 90.00
_cell_angle_gamma 90.00
loop_
_symmetry_equiv_pos_as_xyz
'x,y,z'
loop_
_atom_site_label
_atom_site_fract_x
_atom_site_fract_y
_atom_site_fract_z
Cr1 0.000 0.000 0.000
Te1 0.500 0.500 0.500
H1 0.000 0.500 0.000
H2 0.000 0.000 0.500
H3 0.500 0.000 0.000

***

2.
# Zr2TiCrH, PBEsol geometry, DFT meta-GGA SCAN
# DFT total energy (eV/atom): -19.1889
# Magnetic moment (μB per formula unit): 2.8
# Fermi-level density of states (states/eV per atom): 0.892
# Symmetry: P4/mmm, No. 123
data_Zr2TiCrH
_chemical_formula_sum 'Zr2 Ti1 Cr1 H1'
_symmetry_space_group_name_H-M 'P 1'
_symmetry_Int_Tables_number 1
_cell_length_a 3.205
_cell_length_b 5.112
_cell_length_c 5.112
_cell_angle_alpha 90.00
_cell_angle_beta 90.00
_cell_angle_gamma 90.00
loop_
_symmetry_equiv_pos_as_xyz
'x,y,z'
loop_
_atom_site_label
_atom_site_fract_x
_atom_site_fract_y
_atom_site_fract_z
Cr1 0.500 0.500 0.500
H1 0.500 0.000 0.000
Zr1 0.000 0.000 0.500
Zr2 0.000 0.500 0.000
Ti1 0.000 0.000 0.000

***

3.
# VCr3H, PBEsol geometry, DFT meta-GGA SCAN
# DFT total energy (eV/atom): -14.9509
# Magnetic moment (μB per formula unit): 0.0
# Fermi-level density of states (states/eV per atom): 1.395
# Symmetry: Pm-3m, No. 221
data_VCr3H
_chemical_formula_sum 'V1 Cr3 H1'
_symmetry_space_group_name_H-M 'P 1'
_symmetry_Int_Tables_number 1
_cell_length_a 3.667
_cell_length_b 3.667
_cell_length_c 3.667
_cell_angle_alpha 90.00
_cell_angle_beta 90.00
_cell_angle_gamma 90.00
loop_
_symmetry_equiv_pos_as_xyz
'x,y,z'
loop_
_atom_site_label
_atom_site_fract_x
_atom_site_fract_y
_atom_site_fract_z
Cr1 0.000 0.500 0.000
Cr2 0.000 0.000 0.500
Cr3 0.500 0.000 0.000
H1 0.000 0.000 0.000
V1 0.500 0.500 0.500

***

4.
# YCr2H, PBEsol geometry, DFT meta-GGA SCAN
# DFT total energy (eV/atom): -15.9002
# Magnetic moment (μB per formula unit): 7.9
# Fermi-level density of states (states/eV per atom): 0.616
# Symmetry: Fm-3m, No. 225
data_YCr2H
_chemical_formula_sum 'Y1 Cr2 H1'
_symmetry_space_group_name_H-M 'P 1'
_symmetry_Int_Tables_number 1
_cell_length_a 4.518
_cell_length_b 4.518
_cell_length_c 4.518
_cell_angle_alpha 60.00
_cell_angle_beta 60.00
_cell_angle_gamma 60.00
loop_
_symmetry_equiv_pos_as_xyz
'x,y,z'
loop_
_atom_site_label
_atom_site_fract_x
_atom_site_fract_y
_atom_site_fract_z
Y1 0.500 0.500 0.500
Cr1 0.250 0.250 0.250
Cr2 0.750 0.750 0.750
H1 0.000 0.000 0.000

***

5.
# Y2CrH6, PBEsol geometry, DFT meta-GGA SCAN
# DFT total energy (eV/atom): -11.1432
# Magnetic moment (μB per formula unit): 0.1
# Symmetry: Fm-3m, No. 225
data_Y2CrH6
_chemical_formula_sum 'Y2 Cr1 H6'
_symmetry_space_group_name_H-M 'P 1'
_symmetry_Int_Tables_number 1
_cell_length_a 4.865
_cell_length_b 4.865
_cell_length_c 4.865
_cell_angle_alpha 60.00
_cell_angle_beta 60.00
_cell_angle_gamma 60.00
loop_
_symmetry_equiv_pos_as_xyz
'x,y,z'
loop_
_atom_site_label
_atom_site_fract_x
_atom_site_fract_y
_atom_site_fract_z
Y1 0.750 0.750 0.750
Y2 0.250 0.250 0.250
Cr1 0.000 0.000 0.000
H1 0.248 0.248 0.752
H2 0.752 0.248 0.752
H3 0.752 0.248 0.248
H4 0.752 0.752 0.248
H5 0.248 0.752 0.248
H6 0.248 0.752 0.752

***

6.
# Y3CrH, PBEsol geometry, DFT meta-GGA SCAN
# Energy above the lowest structure with this stoichiometry (kcal/mol of atoms): 0.00
# Magnetic moment (μB per formula unit): 2.7
# Fermi-level density of states (states/eV per atom): 0.962
# Symmetry: Pm-3m, No. 221
data_Y3CrH
_chemical_formula_sum 'Y3 Cr1 H1'
_symmetry_space_group_name_H-M 'P 1'
_symmetry_Int_Tables_number 1
_cell_length_a 4.732
_cell_length_b 4.732
_cell_length_c 4.732
_cell_angle_alpha 90.00
_cell_angle_beta 90.00
_cell_angle_gamma 90.00
loop_
_symmetry_equiv_pos_as_xyz
'x,y,z'
loop_
_atom_site_label
_atom_site_fract_x
_atom_site_fract_y
_atom_site_fract_z
Y1 0.000 0.500 0.000
Y2 0.000 0.000 0.500
Y3 0.500 0.000 0.000
Cr1 0.500 0.500 0.500
H1 0.000 0.000 0.000

***

7.
# Y2CrH, PBEsol geometry, DFT meta-GGA SCAN
# DFT total energy (eV/atom): -19.4293
# Magnetic moment (μB per formula unit): 3.2
# Fermi-level density of states (states/eV per atom): 0.544
# Symmetry: I-42d, No. 122
data_Y2CrH
_chemical_formula_sum 'Y4 Cr2 H2'
_symmetry_space_group_name_H-M 'P 1'
_symmetry_Int_Tables_number 1
_cell_length_a 5.887
_cell_length_b 5.887
_cell_length_c 5.887
_cell_angle_alpha 107.82
_cell_angle_beta 110.30
_cell_angle_gamma 110.30
loop_
_symmetry_equiv_pos_as_xyz
'x,y,z'
loop_
_atom_site_label
_atom_site_fract_x
_atom_site_fract_y
_atom_site_fract_z
Y1 0.907 0.532 0.125
Y2 0.093 0.218 0.625
Y3 0.407 0.875 0.782
Y4 0.593 0.375 0.468
Cr1 0.500 0.750 0.250
Cr2 0.000 0.000 0.000
H1 0.500 0.250 0.750
H2 0.000 0.500 0.500

***

8.
# ZnCr2H2, PBEsol geometry, DFT meta-GGA SCAN
# DFT total energy (eV/atom): -11.2982
# Magnetic moment (μB per formula unit): 1.1
# Fermi-level density of states (states/eV per atom): 0.569
# Symmetry: I4/mmm, No. 139
data_ZnCr2H2
_chemical_formula_sum 'Zn1 Cr2 H2'
_symmetry_space_group_name_H-M 'P 1'
_symmetry_Int_Tables_number 1
_cell_length_a 3.102
_cell_length_b 3.102
_cell_length_c 4.740
_cell_angle_alpha 109.10
_cell_angle_beta 109.10
_cell_angle_gamma 90.00
loop_
_symmetry_equiv_pos_as_xyz
'x,y,z'
loop_
_atom_site_label
_atom_site_fract_x
_atom_site_fract_y
_atom_site_fract_z
Cr1 0.338 0.338 0.676
Cr2 0.662 0.662 0.324
Zn1 0.000 0.000 0.000
H1 0.250 0.750 0.500
H2 0.750 0.250 0.500

***

9.
# ZnCr3H, PBEsol geometry, DFT meta-GGA SCAN
# DFT total energy (eV/atom): -14.2392
# Magnetic moment (μB per formula unit): 0.0
# Fermi-level density of states (states/eV per atom): 0.719
# Symmetry: Pm-3m, No. 221
data_ZnCr3H
_chemical_formula_sum 'Zn1 Cr3 H1'
_symmetry_space_group_name_H-M 'P 1'
_symmetry_Int_Tables_number 1
_cell_length_a 3.644
_cell_length_b 3.644
_cell_length_c 3.644
_cell_angle_alpha 90.00
_cell_angle_beta 90.00
_cell_angle_gamma 90.00
loop_
_symmetry_equiv_pos_as_xyz
'x,y,z'
loop_
_atom_site_label
_atom_site_fract_x
_atom_site_fract_y
_atom_site_fract_z
Cr1 0.000 0.500 0.000
Cr2 0.000 0.000 0.500
Cr3 0.500 0.000 0.000
Zn1 0.500 0.500 0.500
H1 0.000 0.000 0.000

***

10.
# HfCr2, PBEsol geometry, DFT meta-GGA SCAN
# DFT total energy (eV/atom): -33.2232
# Magnetic moment (μB per formula unit): 0.0
# Fermi-level density of states (states/eV per atom): 0.564
# Symmetry: Fd-3m, No. 227
data_HfCr2
_chemical_formula_sum 'Hf2 Cr4'
_symmetry_space_group_name_H-M 'P 1'
_symmetry_Int_Tables_number 1
_cell_length_a 4.947
_cell_length_b 4.947
_cell_length_c 4.947
_cell_angle_alpha 60.00
_cell_angle_beta 60.00
_cell_angle_gamma 60.00
loop_
_symmetry_equiv_pos_as_xyz
'x,y,z'
loop_
_atom_site_label
_atom_site_fract_x
_atom_site_fract_y
_atom_site_fract_z
Cr1 0.125 0.625 0.625
Cr2 0.625 0.625 0.625
Cr3 0.625 0.625 0.125
Cr4 0.625 0.125 0.625
Hf1 0.000 0.000 0.000
Hf2 0.250 0.250 0.250

***

11.
# HfCr2, PBEsol geometry, DFT meta-GGA SCAN
# DFT total energy (eV/atom): -33.2024
# Magnetic moment (μB per formula unit): 0.0
# Fermi-level density of states (states/eV per atom): 0.723
# Symmetry: P6_3/mmc, No. 194
data_HfCr2
_chemical_formula_sum 'Hf4 Cr8'
_symmetry_space_group_name_H-M 'P 1'
_symmetry_Int_Tables_number 1
_cell_length_a 4.984
_cell_length_b 4.984
_cell_length_c 7.970
_cell_angle_alpha 90.00
_cell_angle_beta 90.00
_cell_angle_gamma 120.00
loop_
_symmetry_equiv_pos_as_xyz
'x,y,z'
loop_
_atom_site_label
_atom_site_fract_x
_atom_site_fract_y
_atom_site_fract_z
Hf1 0.333 0.667 0.060
Hf2 0.667 0.333 0.940
Hf3 0.667 0.333 0.560
Hf4 0.333 0.667 0.440
Cr1 0.000 0.000 0.000
Cr2 0.000 0.000 0.500
Cr3 0.832 0.168 0.250
Cr4 0.337 0.168 0.250
Cr5 0.832 0.663 0.250
Cr6 0.168 0.832 0.750
Cr7 0.663 0.832 0.750
Cr8 0.168 0.337 0.750

***

12.
# HfCrHg2, PBEsol geometry, DFT meta-GGA SCAN
# DFT total energy (eV/atom): -54.3984
# Magnetic moment (μB per formula unit): 4.1
# Fermi-level density of states (states/eV per atom): 0.344
# Symmetry: Fm-3m, No. 225
data_HfCrHg2
_chemical_formula_sum 'Hf1 Cr1 Hg2'
_symmetry_space_group_name_H-M 'P 1'
_symmetry_Int_Tables_number 1
_cell_length_a 4.734
_cell_length_b 4.734
_cell_length_c 4.734
_cell_angle_alpha 60.00
_cell_angle_beta 60.00
_cell_angle_gamma 60.00
loop_
_symmetry_equiv_pos_as_xyz
'x,y,z'
loop_
_atom_site_label
_atom_site_fract_x
_atom_site_fract_y
_atom_site_fract_z
Cr1 0.000 0.000 0.000
Hf1 0.500 0.500 0.500
Hg1 0.250 0.250 0.250
Hg2 0.750 0.750 0.750

***

Q: magnetic moment of number 4 (YCr2H)?
A: 7.9 μB per formula unit

***

Q: Number 1 is which compound?
A: CrTeH3

***

Q: Among the records above, which one has the highest magnetic moment?
A: YCr2H

***

What did the fifth record say?
# Y2CrH6, PBEsol geometry, DFT meta-GGA SCAN
# DFT total energy (eV/atom): -11.1432
# Magnetic moment (μB per formula unit): 0.1
# Symmetry: Fm-3m, No. 225
data_Y2CrH6
_chemical_formula_sum 'Y2 Cr1 H6'
_symmetry_space_group_name_H-M 'P 1'
_symmetry_Int_Tables_number 1
_cell_length_a 4.865
_cell_length_b 4.865
_cell_length_c 4.865
_cell_angle_alpha 60.00
_cell_angle_beta 60.00
_cell_angle_gamma 60.00
loop_
_symmetry_equiv_pos_as_xyz
'x,y,z'
loop_
_atom_site_label
_atom_site_fract_x
_atom_site_fract_y
_atom_site_fract_z
Y1 0.750 0.750 0.750
Y2 0.250 0.250 0.250
Cr1 0.000 0.000 0.000
H1 0.248 0.248 0.752
H2 0.752 0.248 0.752
H3 0.752 0.248 0.248
H4 0.752 0.752 0.248
H5 0.248 0.752 0.248
H6 0.248 0.752 0.752